Compound: Ba2NaMg2
Source: Alexandria via LeMat-Bulk
Functional: PBE-GGA
Structure: optimized geometry

The structure in POSCAR format:
```
Ba2NaMg2
1.0
2.742 -9.081 0.000
2.742 9.081 0.000
0.000 0.000 4.270
Ba Na Mg
2 1 2
Direct
0.126 0.874 0.000 Ba
0.874 0.126 0.000 Ba
0.500 0.500 0.500 Na
0.295 0.705 0.500 Mg
0.705 0.295 0.500 Mg
```

Output
* N(E_F): 1.219 states/eV per atom
* total magnetization: 0.0 Bohr magnetons per cell
* V: 213 Å³/cell
* formation enthalpy at 0 K: 1 kJ/mol of formula units
* space group: Cmmm, No. 65
* relative energy among the computed polymorphs: 0.000 eV/atom